No. 1
# Nd2PaAl

A relaxed Nd2PaAl crystal (PBE, Alexandria).

extended XYZ file:
```
4
Lattice="3.4594 0.0000 0.0000 0.0000 3.4594 0.0000 0.0000 0.0000 9.2488" Properties=species:S:1:pos:R:3 pbc="T T T"
Pa 1.7297 1.7297 4.6244
Nd 0.0000 0.0000 7.1419
Nd 0.0000 0.0000 2.1069
Al 1.7297 1.7297 0.0000
```

Energy   -5.672 eV/atom
V   27.67 Å³/atom
ΔH_f (0 K)   0.022 eV per atom
Excess energy over the best structure of this formula in the dataset   0.00 eV per formula unit


No. 2
# Nd2PaAl2Ru5

A relaxed Nd2PaAl2Ru5 crystal (PBE, Alexandria).

extended XYZ file:
```
20
Lattice="3.4391 0.0000 0.0000 0.0000 10.3138 0.0000 0.0000 0.0000 10.3138" Properties=species:S:1:pos:R:3 pbc="T T T"
Nd 0.0000 6.9221 1.7652
Nd 0.0000 3.3917 8.5486
Nd 0.0000 1.7652 3.3917
Nd 0.0000 8.5486 6.9221
Pa 0.0000 0.0000 0.0000
Pa 0.0000 5.1569 5.1569
Al 0.0000 1.2918 6.4488
Al 0.0000 9.0220 3.8651
Al 0.0000 6.4488 9.0220
Al 0.0000 3.8651 1.2918
Ru 1.7196 2.0882 0.7002
Ru 1.7196 8.2256 9.6136
Ru 1.7196 0.7002 8.2256
Ru 1.7196 7.2451 4.4567
Ru 1.7196 9.6136 2.0882
Ru 1.7196 3.0687 5.8572
Ru 1.7196 5.8572 7.2451
Ru 1.7196 4.4567 3.0687
Ru 1.7196 5.1569 0.0000
Ru 1.7196 0.0000 5.1569
```

Energy   -7.767 eV/atom
V   18.29 Å³/atom
ΔH_f (0 K)   -0.477 eV per atom


No. 3
# Nd12AlPb3

A relaxed Nd12AlPb3 crystal (PBE, Alexandria).

extended XYZ file:
```
16
Lattice="-1.5017 4.5331 -1.3980 -0.0896 -1.4932 -4.7456 -18.9649 -5.6262 2.1283" Properties=species:S:1:pos:R:3 pbc="T T T"
Nd -0.7956 1.5200 -3.0718
Nd -5.4940 0.1261 -2.5445
Nd -10.2781 -1.2931 -2.0076
Nd -15.0622 -2.7124 -1.4708
Nd -3.0405 1.5873 -0.4420
Nd -7.8458 0.1618 0.0972
Nd -12.6208 -1.2548 0.6331
Nd -17.4262 -2.6804 1.1724
Nd -2.3344 -1.4259 -2.1159
Nd -7.1397 -2.8514 -1.5766
Nd -11.9148 -4.2680 -1.0407
Nd -16.7201 -5.6935 -0.5014
Al 0.0000 0.0000 0.0000
Pb -4.6871 -1.3905 0.5260
Pb -9.4825 -2.8131 1.0642
Pb -14.2779 -4.2357 1.6023
```

Energy   -4.803 eV/atom
V   30.79 Å³/atom
ΔH_f (0 K)   -0.297 eV per atom


No. 4
# NdAlPb

A relaxed NdAlPb crystal (PBE, Alexandria).

extended XYZ file:
```
6
Lattice="-0.3549 1.9395 4.0528 -3.6268 -0.3601 -2.6513 -2.0666 -8.7759 4.0188" Properties=species:S:1:pos:R:3 pbc="T T T"
Al -1.9945 -1.1581 2.8856
Al -4.1184 -6.3126 2.6603
Pb -1.3484 -5.7261 2.6222
Pb -0.3151 -1.3381 0.6128
Nd -3.3714 -7.0050 5.5632
Nd -3.4287 -3.3836 1.3190
```

Energy   -4.358 eV/atom
V   28.94 Å³/atom
ΔH_f (0 K)   -0.285 eV per atom


No. 5
# NdAl2Pb

A relaxed NdAl2Pb crystal (PBE, Alexandria).

extended XYZ file:
```
4
Lattice="4.5267 0.0000 0.0000 0.0000 4.5999 0.0000 0.0000 0.0000 4.5999" Properties=species:S:1:pos:R:3 pbc="T T T"
Pb 2.2634 0.0000 0.0000
Nd 2.2634 2.2999 2.2999
Al 0.0000 0.0000 2.2999
Al 0.0000 2.2999 0.0000
```

Energy   -4.268 eV/atom
V   23.95 Å³/atom
ΔH_f (0 K)   -0.278 eV per atom


No. 6
# Nd6Al2Pb

A relaxed Nd6Al2Pb crystal (PBE, Alexandria).

extended XYZ file:
```
18
Lattice="8.4137 -0.1375 -3.2749 -4.4388 7.5058 -2.3441 -0.2867 0.1375 9.0240" Properties=species:S:1:pos:R:3 pbc="T T T"
Nd 1.0192 5.4294 3.8928
Nd 2.6690 2.0764 -0.4877
Nd -0.7155 2.2139 6.3449
Nd 4.4037 5.2919 -2.9398
Nd 3.1558 5.6851 0.6410
Nd 0.5324 1.8206 2.7641
Nd -1.9418 5.8226 6.2617
Nd 5.6300 1.6831 -2.8566
Nd 4.0454 2.9077 2.9001
Nd -0.3572 4.5980 0.5049
Nd -2.0519 7.3391 2.9005
Nd 5.7401 0.1666 0.5045
Al 2.2596 2.9178 5.4246
Al 1.4286 4.5880 -2.0195
Al 5.1788 0.0000 3.6636
Al 2.9481 0.0000 2.0856
Pb -2.3627 3.8216 3.3400
Pb 0.0000 0.0000 0.0000
```

Energy   -4.710 eV/atom
V   31.22 Å³/atom
ΔH_f (0 K)   -0.288 eV per atom


No. 7
# Nd7Al2Pb2

A relaxed Nd7Al2Pb2 crystal (PBE, Alexandria).

extended XYZ file:
```
11
Lattice="-6.3253 -2.3087 -2.2094 3.1013 -1.8856 -6.9095 3.6214 -5.2655 3.0628" Properties=species:S:1:pos:R:3 pbc="T T T"
Nd -3.6372 -5.4747 -2.6328
Nd 2.6828 -7.7719 -2.9967
Nd 4.0346 -3.9852 -3.4233
Nd -2.2854 -1.6880 -3.0595
Nd 0.0000 0.0000 0.0000
Nd 1.0206 -5.2297 -4.8592
Nd -0.6232 -4.2302 -1.1969
Al -0.4301 -5.0249 -7.6379
Al 0.8275 -4.4350 1.5817
Pb -0.6475 -7.1005 -2.7610
Pb 1.0449 -2.3594 -3.2951
```

Energy   -4.479 eV/atom
V   33.40 Å³/atom
ΔH_f (0 K)   -0.090 eV per atom


No. 8
# NdAlPb

A relaxed NdAlPb crystal (PBE, Alexandria).

extended XYZ file:
```
3
Lattice="-0.4548 -4.4565 0.0609 4.3934 -0.4313 1.2500 -3.2685 0.3773 3.1977" Properties=species:S:1:pos:R:3 pbc="T T T"
Pb -0.8298 -1.0224 2.5639
Nd 1.5266 -3.2273 1.9411
Al -0.0266 -0.2609 0.0036
```

Energy   -4.420 eV/atom
V   27.22 Å³/atom
ΔH_f (0 K)   -0.347 eV per atom


No. 9
# Nd3AlPb2

A relaxed Nd3AlPb2 crystal (PBE, Alexandria).

extended XYZ file:
```
24
Lattice="-3.0136 -2.7842 2.0308 5.5556 -9.8065 -5.2005 7.7582 -0.9901 10.1551" Properties=species:S:1:pos:R:3 pbc="T T T"
Nd 1.7759 -4.4712 -0.9148
Nd 8.5244 -9.1096 7.9002
Nd 6.0841 -11.1542 1.4759
Nd 4.2161 -2.4266 5.5095
Nd 4.8752 -7.8438 -0.9394
Nd 5.4250 -5.7371 7.9248
Nd 1.0651 -4.3932 3.2974
Nd 9.2351 -9.1877 3.6880
Nd 4.6276 -5.4086 2.0319
Nd 5.6726 -8.1723 4.9535
Nd 3.9326 -11.4530 -2.1264
Nd 6.3676 -2.1278 9.1118
Al 0.9799 -2.1088 1.1429
Al 9.3203 -11.4720 5.8425
Al 4.1188 -8.6426 2.0029
Al 6.1815 -4.9383 4.9825
Pb 6.8956 -7.9674 1.8893
Pb 3.4046 -5.6135 5.0961
Pb -1.1193 -3.9802 0.6222
Pb 11.4195 -9.6007 6.3632
Pb 7.2202 -10.8073 -1.5225
Pb 3.0800 -2.7736 8.5078
Pb 1.9740 -7.1734 0.8345
Pb 8.3262 -6.4074 6.1509
```

Energy   -4.724 eV/atom
V   30.35 Å³/atom
ΔH_f (0 K)   -0.480 eV per atom


No. 10
# NdAl4Pb

A relaxed NdAl4Pb crystal (PBE, Alexandria).

extended XYZ file:
```
6
Lattice="-4.7875 1.7694 2.5260 -5.0014 -2.3111 -1.4408 -2.7185 -3.4140 3.6586" Properties=species:S:1:pos:R:3 pbc="T T T"
Pb -3.1269 -0.9889 1.1859
Nd 0.0000 0.0000 0.0000
Al -6.4576 -0.7668 1.1370
Al -5.3175 -1.3176 3.6837
Al -7.8153 -2.4718 2.9642
Al -5.4244 -3.3554 1.7027
```

Energy   -4.075 eV/atom
V   21.77 Å³/atom
ΔH_f (0 K)   -0.167 eV per atom


No. 11
# PmNdAlPb

A relaxed PmNdAlPb crystal (PBE, Alexandria).

extended XYZ file:
```
4
Lattice="-0.6601 4.9734 -2.0941 -2.5024 3.8594 2.8979 2.8469 4.1847 1.9845" Properties=species:S:1:pos:R:3 pbc="T T T"
Pb -0.0789 3.2544 0.6971
Nd -0.1578 6.5088 1.3942
Al -0.2366 9.7631 2.0913
Pm 0.0000 0.0000 0.0000
```

Energy   -4.598 eV/atom
V   28.40 Å³/atom
ΔH_f (0 K)   -0.356 eV per atom


No. 12
# PrNdAlPb

A relaxed PrNdAlPb crystal (PBE, Alexandria).

extended XYZ file:
```
4
Lattice="-3.2422 -4.3322 -0.8217 0.5701 -3.0256 -4.5250 2.0579 -5.0605 0.3330" Properties=species:S:1:pos:R:3 pbc="T T T"
Pb -0.1536 -3.1046 -1.2534
Pr 0.0000 0.0000 0.0000
Nd -0.3071 -6.2091 -2.5069
Al -0.4607 -9.3137 -3.7603
```

Energy   -4.605 eV/atom
V   28.98 Å³/atom
ΔH_f (0 K)   -0.356 eV per atom


No. 13
# Nd2Al2Rh5Pb

A relaxed Nd2Al2Rh5Pb crystal (PBE, Alexandria).

extended XYZ file:
```
20
Lattice="-3.2251 1.3119 -0.9903 -3.5721 -1.7977 9.2515 2.8612 9.2199 2.8963" Properties=species:S:1:pos:R:3 pbc="T T T"
Nd -1.9126 0.4224 6.7883
Nd 1.2017 6.9998 5.3596
Nd 0.2854 2.6486 2.5795
Nd -0.9962 4.7736 9.5684
Al 1.3466 5.4872 2.8839
Al -2.0574 1.9350 9.2640
Al 0.3149 7.0189 8.2732
Al -1.0257 0.4033 3.8747
Rh -2.1870 0.9005 1.6998
Rh -1.7489 7.8336 9.4578
Rh 0.3863 7.7632 2.4109
Rh -2.9350 3.3467 7.3763
Rh -4.3222 0.9710 8.7467
Rh -1.0009 5.3874 3.7812
Rh -1.5956 6.2331 6.8384
Rh -2.3403 2.5010 4.3192
Rh -3.3986 -0.2429 4.1306
Rh -0.1819 5.2659 0.9530
Pb 0.0000 0.0000 0.0000
Pb -0.3554 3.7111 6.0739
```

Energy   -6.473 eV/atom
V   18.39 Å³/atom
ΔH_f (0 K)   -0.724 eV per atom


No. 14
# NdAlPb2S5

A relaxed NdAlPb2S5 crystal (PBE, Alexandria).

extended XYZ file:
```
18
Lattice="-1.2083 -3.7405 -0.6249 8.9971 -1.0662 1.6598 -2.4764 -1.3029 12.5865" Properties=species:S:1:pos:R:3 pbc="T T T"
Nd 3.1772 -4.3477 7.2043
Nd 3.2140 -1.1943 0.9337
Al -2.0323 -3.3647 11.3938
Al 6.5065 -3.1859 6.4880
Pb 3.7506 -5.2006 11.2011
Pb 0.5900 -1.6655 8.8281
Pb 1.1512 -1.1249 4.5073
Pb 5.1056 -4.2424 2.8455
S 5.8264 -2.0810 1.1897
S 0.1373 -4.0338 11.2039
S 6.2596 -3.8643 11.0257
S 3.2771 -2.6315 9.4143
S 5.9893 -5.2905 7.4104
S 0.6272 -3.4282 6.6316
S 4.5421 -2.4087 5.6345
S -1.0551 -2.3020 3.1440
S 2.3594 -3.3075 2.5595
S 0.4955 -0.2022 0.2520
```

Uncorrected formation energy   -9.7 eV/f.u.
Energy   -5.143 eV/atom
V   25.64 Å³/atom


No. 15
# NdSmAlPb

A relaxed NdSmAlPb crystal (PBE, Alexandria).

extended XYZ file:
```
4
Lattice="-0.4757 4.1927 -3.4088 -3.7059 -0.1302 -3.9590 -4.3560 3.2225 0.2554" Properties=species:S:1:pos:R:3 pbc="T T T"
Pb -2.1344 1.8212 -1.7781
Nd 0.0000 0.0000 0.0000
Al -6.4033 5.4637 -5.3343
Sm -4.2688 3.6424 -3.5562
```

Energy   -4.587 eV/atom
V   28.22 Å³/atom
ΔH_f (0 K)   -0.352 eV per atom


No. 16
# Nd2Al5Pd3

A relaxed Nd2Al5Pd3 crystal (PBE, Alexandria).

extended XYZ file:
```
20
Lattice="4.3513 0.0000 -0.7412 0.0000 6.7867 0.0000 -0.0283 0.0000 12.9763" Properties=species:S:1:pos:R:3 pbc="T T T"
Nd 2.0713 5.1511 12.1596
Nd 0.7512 4.9460 4.4097
Nd 3.5718 1.5526 7.8254
Nd 2.2517 1.7577 0.0755
Al 1.7025 2.8050 9.9944
Al 1.2389 3.5107 7.2726
Al 3.0841 0.1173 4.9625
Al 0.5467 1.6870 3.2093
Al 1.2559 6.2113 7.3729
Al 4.0824 0.5532 10.8229
Al 3.0670 2.8179 4.8622
Al 3.7763 5.0803 9.0258
Al 0.2405 3.9465 1.4121
Al 2.6205 6.1983 2.2407
Pd 3.3510 4.8471 6.5291
Pd 2.6411 3.4967 2.3614
Pd 0.2290 6.5949 1.3442
Pd 0.9720 1.4537 5.7060
Pd 4.0940 3.2015 10.8909
Pd 1.6819 0.1033 9.8737
```

Energy   -5.131 eV/atom
V   19.15 Å³/atom
ΔH_f (0 K)   -0.748 eV per atom
Excess energy over the best structure of this formula in the dataset   0.46 eV per formula unit


No. 17
# Nd2AlPd3

A relaxed Nd2AlPd3 crystal (PBE, Alexandria).

extended XYZ file:
```
12
Lattice="-4.9824 0.6760 -2.7037 2.8821 -4.9016 -0.5094 -4.0889 -3.1067 6.7584" Properties=species:S:1:pos:R:3 pbc="T T T"
Nd -4.1648 -2.5537 1.0092
Nd -2.0245 -4.7785 2.5360
Nd -3.5877 -5.9663 5.1198
Nd -2.6015 -1.3660 -1.5746
Al -2.0445 -1.5533 3.3792
Al 0.0000 0.0000 0.0000
Pd -0.8920 -2.2967 1.0696
Pd -4.2463 -2.9212 4.0834
Pd -5.2972 -5.0355 2.4756
Pd 0.5501 -4.7493 0.8147
Pd -6.7393 -2.5829 2.7305
Pd -1.9430 -4.4111 -0.5381
```

Energy   -5.615 eV/atom
V   19.96 Å³/atom
ΔH_f (0 K)   -0.806 eV per atom
Excess energy over the best structure of this formula in the dataset   0.00 eV per formula unit


No. 18
# NdAl4Pd6

A relaxed NdAl4Pd6 crystal (PBE, Alexandria).

extended XYZ file:
```
11
Lattice="-1.8232 6.2864 0.1915 -3.5316 -4.0135 -3.7814 -0.7943 -3.5015 5.4761" Properties=species:S:1:pos:R:3 pbc="T T T"
Nd 0.0000 0.0000 0.0000
Al -0.8967 -2.4232 2.4584
Al -3.0679 0.2673 0.8923
Al -2.0134 -2.6321 -1.3184
Al -4.4971 -3.9557 1.5485
Pd -3.0920 -4.7365 -0.3345
Pd -2.2728 -4.5832 2.4361
Pd -2.2738 2.6743 0.5244
Pd -1.3088 1.3924 2.8338
Pd -2.8366 -2.0983 0.9548
Pd -2.6774 1.1364 -1.7950
```

Energy   -5.182 eV/atom
V   18.77 Å³/atom
ΔH_f (0 K)   -0.555 eV per atom


No. 19
# Nd2Al2Pd

A relaxed Nd2Al2Pd crystal (PBE, Alexandria).

extended XYZ file:
```
10
Lattice="-1.6698 1.1996 -4.1760 -5.8307 -0.5503 -0.4208 -2.2594 9.4258 1.0168" Properties=species:S:1:pos:R:3 pbc="T T T"
Nd -3.8128 3.6258 -2.6222
Nd -5.1264 9.3573 -3.0447
Nd -5.9471 6.4492 -0.9578
Nd -4.6335 0.7177 -0.5353
Al -2.9191 5.1952 0.0654
Al -8.1021 8.5714 -2.0806
Al -6.8408 4.8798 -3.6454
Al -1.6578 1.5037 -1.4994
Pd -3.0159 6.6930 -2.0598
Pd -6.7439 3.3820 -1.5202
```

Energy   -5.037 eV/atom
V   23.73 Å³/atom
ΔH_f (0 K)   -0.594 eV per atom


No. 20
# Nd8AlPd2

A relaxed Nd8AlPd2 crystal (PBE, Alexandria).

extended XYZ file:
```
11
Lattice="-4.8229 0.8046 -2.4378 4.8927 3.0646 -5.9725 -0.1754 -8.2993 0.3032" Properties=species:S:1:pos:R:3 pbc="T T T"
Nd -1.2299 0.7883 -3.2723
Nd -2.4440 -1.9339 -1.7690
Nd 0.9325 -1.8623 -2.6192
Nd -3.7454 -4.7877 -3.6829
Nd -1.1214 1.0960 -6.9322
Nd -1.0063 -2.6028 -5.5257
Nd 2.3566 -2.5058 -6.3854
Nd 1.1279 -5.2607 -4.8640
Al 0.0130 -0.0175 -0.0211
Pd 0.9061 -0.1060 -5.2133
Pd -0.9783 -4.3313 -2.8799
```

Energy   -4.987 eV/atom
V   30.17 Å³/atom
ΔH_f (0 K)   -0.235 eV per atom